Density functional theory data (PBE) for an optimized crystal structure of YCd2Cu.

abc: 3.4661 4.7798 5.4699
angles: 90.00 101.74 90.00
With the nearest neighbours (Å) after each atom.
Element x y z (fractional)
Y (0.0000, 0.0000, 0.0000)  2 Cu 2.92, 4 Cd 3.22
Cd (0.3701, 0.5000, 0.7272)  2 Cu 2.77, 2 Cd 2.81-2.94
Cd (0.6299, 0.5000, 0.2728)  2 Cu 2.77, 2 Cd 2.81-2.94
Cu (0.5000, 0.0000, 0.5000)  4 Cd 2.77, 2 Y 2.92

Summary:
The calculated total energy is -3.1988 eV/atom. Its total moment is 0.000 μB per cell. Its energy relative to the elements is -101 meV/atom.